Entry from the Alexandria database: an optimized crystal structure of CuH10SeO9 (PBE).

Volume   9.40 A^3/atom
Crystal system   triclinic
Space-group type   P-1 (2)
ρ   2.49 g/cm3

Cell: 6.114 6.163 11.234 Å, 77.56 81.82 73.49°
Fractional coordinates of all 42 atoms:
Cu1 0.000 0.000 0.000
Cu2 0.000 0.500 0.500
H1 0.054 0.213 0.700
H2 0.135 0.291 0.087
H3 0.140 0.654 0.882
H4 0.233 0.614 0.638
H5 0.248 0.771 0.503
H6 0.307 0.188 0.627
H7 0.308 0.199 0.868
H8 0.327 0.878 0.310
H9 0.359 0.070 0.375
H10 0.412 0.917 0.886
H11 0.588 0.083 0.114
H12 0.641 0.930 0.625
H13 0.673 0.122 0.690
H14 0.692 0.801 0.132
H15 0.693 0.812 0.373
H16 0.752 0.229 0.497
H17 0.767 0.386 0.362
H18 0.860 0.346 0.118
H19 0.865 0.709 0.913
H20 0.946 0.787 0.300
Se1 0.395 0.485 0.218
Se2 0.605 0.515 0.782
O1 0.009 0.730 0.936
O2 0.139 0.219 0.619
O3 0.148 0.692 0.566
O4 0.219 0.750 0.192
O5 0.270 0.049 0.888
O6 0.333 0.489 0.795
O7 0.336 0.355 0.361
O8 0.380 0.324 0.118
O9 0.396 0.899 0.379
O10 0.604 0.101 0.621
O11 0.620 0.676 0.882
O12 0.664 0.645 0.639
O13 0.667 0.511 0.205
O14 0.730 0.951 0.112
O15 0.781 0.250 0.808
O16 0.852 0.308 0.434
O17 0.861 0.781 0.381
O18 0.991 0.270 0.064

=====

Entry from the Alexandria database: an optimized crystal structure of CuH2Se2O6 (PBE).

Volume   13.33 A^3/atom
Crystal system   monoclinic
Space-group type   P2_1/c (14)
ρ   3.62 g/cm3

Cell: 6.086 7.364 8.878 Å, 90.00 132.50 90.00°
Fractional coordinates of all 22 atoms:
Cu1 0.000 0.000 0.000
Cu2 0.000 0.500 0.500
H1 0.077 0.100 0.664
H2 0.077 0.400 0.164
H3 0.923 0.600 0.836
H4 0.923 0.900 0.336
Se1 0.368 0.665 0.285
Se2 0.368 0.835 0.785
Se3 0.632 0.165 0.215
Se4 0.632 0.335 0.715
O1 0.080 0.736 0.035
O2 0.080 0.764 0.535
O3 0.176 0.020 0.789
O4 0.176 0.480 0.289
O5 0.419 0.049 0.245
O6 0.419 0.451 0.745
O7 0.581 0.549 0.255
O8 0.581 0.951 0.755
O9 0.824 0.520 0.711
O10 0.824 0.980 0.211
O11 0.920 0.236 0.465
O12 0.920 0.264 0.965

=====

Entry from the Alexandria database: an optimized crystal structure of CuH2SeO5 (PBE).

Volume   11.58 A^3/atom
Crystal system   triclinic
Space-group type   P-1 (2)
ρ   3.58 g/cm3

Cell: 5.198 5.691 7.702 Å, 100.39 107.14 99.32°
Fractional coordinates of all 18 atoms:
Cu1 0.000 0.000 0.000
Cu2 0.500 0.500 0.500
H1 0.023 0.666 0.674
H2 0.110 0.536 0.232
H3 0.890 0.464 0.768
H4 0.977 0.334 0.326
Se1 0.423 0.114 0.767
Se2 0.577 0.886 0.233
O1 0.141 0.396 0.289
O2 0.224 0.815 0.156
O3 0.297 0.826 0.641
O4 0.319 0.176 0.955
O5 0.322 0.314 0.640
O6 0.678 0.686 0.360
O7 0.681 0.824 0.045
O8 0.703 0.174 0.359
O9 0.776 0.185 0.844
O10 0.859 0.604 0.711

=====

Entry from the Alexandria database: an optimized crystal structure of Sr2CuH2Se4O12 (PBE).

Relative energy among the computed polymorphs   0.000 eV/atom
Volume   14.95 A^3/atom
Crystal system   triclinic
Space-group type   P-1 (2)
ρ   3.96 g/cm3

Cell: 5.368 7.123 9.209 Å, 112.32 96.13 100.69°
Fractional coordinates of all 21 atoms:
Sr1 0.170 0.249 0.441
Sr2 0.830 0.751 0.559
Cu1 0.000 0.000 0.000
H1 0.365 0.162 0.757
H2 0.635 0.838 0.243
Se1 0.200 0.676 0.224
Se2 0.396 0.782 0.815
Se3 0.604 0.218 0.185
Se4 0.800 0.324 0.776
O1 0.128 0.449 0.246
O2 0.129 0.856 0.388
O3 0.204 0.963 0.827
O4 0.303 0.047 0.160
O5 0.342 0.651 0.612
O6 0.442 0.270 0.719
O7 0.558 0.730 0.281
O8 0.658 0.349 0.388
O9 0.697 0.953 0.840
O10 0.796 0.037 0.173
O11 0.871 0.144 0.612
O12 0.872 0.551 0.754

=====

Entry from the Alexandria database: an optimized crystal structure of Sr2CuH2Se4O12 (PBE).

Relative energy among the computed polymorphs   0.055 eV/atom
Volume   16.66 A^3/atom
Crystal system   triclinic
Space-group type   P-1 (2)
ρ   3.55 g/cm3

Cell: 5.494 7.776 9.135 Å, 109.40 105.56 93.33°
Fractional coordinates of all 21 atoms:
Sr1 0.160 0.280 0.058
Sr2 0.840 0.720 0.942
Cu1 0.500 0.500 0.500
H1 0.125 0.244 0.397
H2 0.875 0.756 0.603
Se1 0.201 0.349 0.709
Se2 0.432 0.995 0.276
Se3 0.568 0.005 0.724
Se4 0.799 0.651 0.291
O1 0.112 0.477 0.870
O2 0.244 0.291 0.352
O3 0.245 0.898 0.353
O4 0.253 0.965 0.083
O5 0.381 0.220 0.816
O6 0.439 0.506 0.708
O7 0.561 0.494 0.292
O8 0.619 0.780 0.184
O9 0.747 0.035 0.917
O10 0.755 0.102 0.647
O11 0.756 0.709 0.648
O12 0.888 0.523 0.130

=====

Entry from the Alexandria database: an optimized crystal structure of Tl2CuH12Se2O14 (PBE).

Volume   12.15 A^3/atom
Crystal system   monoclinic
Space-group type   P2_1/c (14)
ρ   3.82 g/cm3

Cell: 6.419 12.743 9.487 Å, 90.00 103.90 90.00°
Fractional coordinates of all 62 atoms:
Tl1 0.158 0.146 0.375
Tl2 0.158 0.354 0.875
Tl3 0.842 0.646 0.125
Tl4 0.842 0.854 0.625
Cu1 0.500 0.000 0.000
Cu2 0.500 0.500 0.500
H1 0.178 0.560 0.597
H2 0.178 0.940 0.097
H3 0.191 0.087 0.813
H4 0.191 0.413 0.313
H5 0.191 0.635 0.463
H6 0.191 0.865 0.963
H7 0.414 0.122 0.775
H8 0.414 0.378 0.275
H9 0.423 0.605 0.205
H10 0.423 0.895 0.705
H11 0.492 0.192 0.177
H12 0.492 0.308 0.677
H13 0.508 0.692 0.323
H14 0.508 0.808 0.823
H15 0.577 0.105 0.295
H16 0.577 0.395 0.795
H17 0.586 0.622 0.725
H18 0.586 0.878 0.225
H19 0.809 0.135 0.037
H20 0.809 0.365 0.537
H21 0.809 0.587 0.687
H22 0.809 0.913 0.187
H23 0.822 0.060 0.903
H24 0.822 0.440 0.403
Se1 0.226 0.642 0.885
Se2 0.226 0.858 0.385
Se3 0.774 0.142 0.615
Se4 0.774 0.358 0.115
O1 0.086 0.747 0.389
O2 0.086 0.753 0.889
O3 0.088 0.566 0.748
O4 0.088 0.934 0.248
O5 0.220 0.562 0.502
O6 0.220 0.938 0.002
O7 0.249 0.574 0.039
O8 0.249 0.926 0.539
O9 0.344 0.107 0.856
O10 0.344 0.393 0.356
O11 0.465 0.119 0.205
O12 0.465 0.381 0.705
O13 0.470 0.671 0.858
O14 0.470 0.829 0.358
O15 0.530 0.171 0.642
O16 0.530 0.329 0.142
O17 0.535 0.619 0.295
O18 0.535 0.881 0.795
O19 0.656 0.607 0.644
O20 0.656 0.893 0.144
O21 0.751 0.074 0.461
O22 0.751 0.426 0.961
O23 0.780 0.062 0.998
O24 0.780 0.438 0.498
O25 0.912 0.066 0.752
O26 0.912 0.434 0.252
O27 0.914 0.247 0.111
O28 0.914 0.253 0.611

=====

Entry from the Alexandria database: an optimized crystal structure of TlCuHSeO5 (PBE).

Volume   14.67 A^3/atom
Crystal system   monoclinic
Space-group type   P2_1/m (11)
ρ   5.38 g/cm3

Cell: 4.735 5.975 9.397 Å, 90.00 96.60 90.00°
Fractional coordinates of all 18 atoms:
Tl1 0.081 0.250 0.381
Tl2 0.919 0.750 0.619
Cu1 0.000 0.000 0.000
Cu2 0.000 0.500 0.000
H1 0.391 0.250 0.110
H2 0.609 0.750 0.890
Se1 0.492 0.250 0.770
Se2 0.508 0.750 0.230
O1 0.182 0.250 0.106
O2 0.264 0.750 0.074
O3 0.303 0.017 0.784
O4 0.303 0.483 0.784
O5 0.337 0.750 0.375
O6 0.663 0.250 0.625
O7 0.697 0.517 0.216
O8 0.697 0.983 0.216
O9 0.736 0.250 0.926
O10 0.818 0.750 0.894

=====

Entry from the Alexandria database: an optimized crystal structure of SrCuH2O4 (PBE).

Volume   11.21 A^3/atom
Crystal system   orthorhombic
Space-group type   I222 (23)
ρ   4.02 g/cm3

Cell: 4.991 4.991 4.991 Å, 124.47 109.55 95.71°
Fractional coordinates of all 8 atoms:
Sr1 0.000 0.000 0.000
Cu1 0.500 0.500 0.000
H1 0.332 0.832 0.500
H2 0.668 0.168 0.500
O1 0.223 0.049 0.631
O2 0.419 0.593 0.369
O3 0.581 0.951 0.174
O4 0.777 0.407 0.826

=====

Entry from the Alexandria database: an optimized crystal structure of Ta2CuHO (PBE).

Volume   15.95 A^3/atom
Crystal system   tetragonal
Space-group type   P4/mmm (123)
ρ   9.21 g/cm3

Cell: 4.837 4.837 3.409 Å, 90.00 90.00 90.00°
Fractional coordinates of all 5 atoms:
Ta1 0.000 0.500 0.000
Ta2 0.500 0.000 0.000
Cu1 0.000 0.000 0.000
H1 0.500 0.500 0.500
O1 0.000 0.000 0.500

=====

We obtain raw total energy values of -104.9; -56.3; -45.7; -115.7; -114.5; -154.0; -44.8; -41.2; -28.5 eV/f.u. for the records listed above, in that order.